Compound: BaZr2Mn2O7
Source: Alexandria
Functional: PBE with a Hubbard U
Structure: optimized geometry

Cell lengths 9.597, 9.597, 9.597 Å; angles 154.16, 154.16, 36.87 degrees
Positions (direct):
Ba1 0.000 0.000 0.000
Zr1 0.386 0.386 0.000
Zr2 0.614 0.614 0.000
Mn1 0.250 0.750 0.500
Mn2 0.750 0.250 0.500
O1 0.117 0.617 0.500
O2 0.267 0.267 0.000
O3 0.383 0.883 0.500
O4 0.500 0.500 0.000
O5 0.617 0.117 0.500
O6 0.733 0.733 0.000
O7 0.883 0.383 0.500

Calculated volume: 13.98 A^3/atom
Raw total energy: -100.71 eV per cell